# GGA-PBE OsWS3, optimized geometry
# volume: 18.4 Å³ per atom
# formation energy without anion corrections: 1414 meV/atom
# calculated total energy: -5.90 eV per atom
# energy relative to the lowest polymorph listed for this composition: 0.210 eV per atom
# size of the total moment: 0.0 μB/f.u.
data_OsWS3
_chemical_formula_sum 'Os1 W1 S3'
_symmetry_space_group_name_H-M 'P m -3 m'
_symmetry_Int_Tables_number 221
_symmetry_space_group_name_Hall '-P 4 2 3'
_cell_length_a 4.514
_cell_length_b 4.514
_cell_length_c 4.514
_cell_angle_alpha 90.00
_cell_angle_beta 90.00
_cell_angle_gamma 90.00
loop_
_atom_site_label
_atom_site_fract_x
_atom_site_fract_y
_atom_site_fract_z
Os1 0.000 0.000 0.000
W1 0.500 0.500 0.500
S1 0.000 0.000 0.500